(1)
A relaxed RbCoSN2 crystal. Source: Alexandria via LeMat-Bulk, functional PBE.

Cell lengths 5.0263, 5.0263, 6.2613 Å; angles 90.00, 90.00, 90.00 degrees
Atoms (fractional coordinates):
1 S 0.0000 0.0000 0.5000
2 Co 0.5000 0.5000 0.5000
3 Rb 0.0000 0.0000 0.0000
4 N 0.0000 0.5000 0.0000
5 N 0.5000 0.0000 0.0000

Properties
calculated volume: 158.18 Å³ per cell
formation energy (no corrections): 2.80 eV/atom
space group: No. 123
calculated density: 2.147 g/cm3

(2)
A relaxed RbCoS2N crystal. Source: Alexandria via LeMat-Bulk, functional PBE.

Cell lengths 5.7914, 5.7914, 5.0494 Å; angles 90.00, 90.00, 90.00 degrees
Atoms (fractional coordinates):
1 S 0.0000 0.5000 0.0000
2 S 0.5000 0.0000 0.0000
3 Co 0.5000 0.5000 0.5000
4 Rb 0.0000 0.0000 0.0000
5 N 0.0000 0.0000 0.5000

Properties
calculated volume: 169.36 Å³ per cell
formation energy (no corrections): 2.27 eV/atom
space group: No. 123
calculated density: 2.182 g/cm3

(3)
A relaxed RbCoSN2 crystal. Source: Alexandria via LeMat-Bulk, functional PBE.

Cell lengths 4.1137, 4.1137, 4.6450 Å; angles 90.00, 90.00, 90.00 degrees
Atoms (fractional coordinates):
1 S 0.0000 0.0000 0.5000
2 Co 0.0000 0.0000 0.0000
3 Rb 0.5000 0.5000 0.5000
4 N 0.0000 0.5000 0.0000
5 N 0.5000 0.0000 0.0000

Properties
calculated volume: 78.61 Å³ per cell
formation energy (no corrections): 0.99 eV/atom
space group: No. 123
calculated density: 4.320 g/cm3

(4)
A relaxed RbCoSiN2 crystal. Source: Alexandria via LeMat-Bulk, functional PBE.

Cell lengths 3.9556, 5.2758, 3.9556 Å; angles 90.00, 90.00, 90.00 degrees
Atoms (fractional coordinates):
1 Si 0.5000 0.5000 0.5000
2 Co 0.0000 0.0000 0.0000
3 Rb 0.0000 0.5000 0.0000
4 N 0.0000 0.0000 0.5000
5 N 0.5000 0.0000 0.0000

Properties
calculated volume: 82.55 Å³ per cell
formation energy (no corrections): 1.87 eV/atom
space group: No. 123
calculated density: 4.033 g/cm3

(5)
A relaxed RbTi2CoN crystal. Source: Alexandria via LeMat-Bulk, functional PBE.

Cell lengths 4.3786, 3.9456, 4.3786 Å; angles 90.00, 90.00, 90.00 degrees
Atoms (fractional coordinates):
1 N 0.0000 0.0000 0.0000
2 Co 0.0000 0.5000 0.0000
3 Rb 0.5000 0.5000 0.5000
4 Ti 0.0000 0.0000 0.5000
5 Ti 0.5000 0.0000 0.0000

Properties
calculated volume: 75.65 Å³ per cell
formation energy (no corrections): 0.56 eV/atom
space group: No. 123
calculated density: 5.579 g/cm3

(6)
A relaxed Rb4U3CoN8 crystal. Source: Alexandria via LeMat-Bulk, functional PBE.

Cell lengths 6.6800, 7.6846, 7.0713 Å; angles 115.94, 118.19, 90.00 degrees
Atoms (fractional coordinates):
1 Rb 0.5000 0.0000 0.0000
2 Rb 0.5000 0.0000 0.5000
3 Rb 0.0000 0.0000 0.0000
4 Rb 0.0000 0.0000 0.5000
5 U 0.5000 0.5000 0.0000
6 U 0.5000 0.5000 0.5000
7 U 0.0000 0.5000 0.5000
8 Co 0.0000 0.5000 0.0000
9 N 0.2131 0.6404 0.9257
10 N 0.2587 0.6765 0.5175
11 N 0.2781 0.3410 0.5563
12 N 0.7125 0.6404 0.9257
13 N 0.2875 0.3596 0.0743
14 N 0.7219 0.6590 0.4437
15 N 0.7413 0.3235 0.4825
16 N 0.7869 0.3596 0.0743

Properties
calculated volume: 277.76 Å³ per cell
formation energy (no corrections): -0.60 eV/atom
space group: No. 12
calculated density: 7.335 g/cm3

(7)
A relaxed CoReN crystal. Source: Alexandria via LeMat-Bulk, functional PBE.

Cell lengths 2.8231, 4.0467, 5.8047 Å; angles 90.00, 90.00, 90.00 degrees
Atoms (fractional coordinates):
1 Re 0.5000 0.0000 0.1187
2 Re 0.0000 0.5000 0.8813
3 N 0.0000 0.0000 0.8335
4 N 0.5000 0.5000 0.1665
5 Co 0.5000 0.5000 0.4861
6 Co 0.0000 0.0000 0.5139

Properties
calculated volume: 66.32 Å³ per cell
formation energy (no corrections): 0.31 eV/atom
space group: No. 59
calculated density: 12.978 g/cm3

(8)
A relaxed CoReN crystal. Source: Alexandria via LeMat-Bulk, functional PBE.

Cell lengths 2.6775, 2.6775, 4.8318 Å; angles 106.09, 106.09, 90.00 degrees
Atoms (fractional coordinates):
1 Re 0.6451 0.6451 0.2901
2 Co 0.9458 0.9458 0.8916
3 N 0.2591 0.2591 0.5182

Properties
calculated volume: 31.87 Å³ per cell
formation energy (no corrections): 0.48 eV/atom
space group: No. 107
calculated density: 13.503 g/cm3

(9)
A relaxed Co3ReN crystal. Source: Alexandria via LeMat-Bulk, functional PBE.

Cell lengths 4.4625, 4.4625, 4.4625 Å; angles 90.00, 90.00, 90.00 degrees
Atoms (fractional coordinates):
1 Re 0.0000 0.0000 0.0000
2 Co 0.0000 0.5000 0.0000
3 Co 0.0000 0.0000 0.5000
4 Co 0.5000 0.0000 0.0000
5 N 0.5000 0.5000 0.5000

Properties
calculated volume: 88.86 Å³ per cell
formation energy (no corrections): 2.56 eV/atom
space group: No. 221
calculated density: 7.045 g/cm3

(10)
A relaxed Co3ReN crystal. Source: Alexandria via LeMat-Bulk, functional PBE.

Cell lengths 3.7812, 3.7812, 3.7812 Å; angles 90.00, 90.00, 90.00 degrees
Atoms (fractional coordinates):
1 Re 0.5000 0.5000 0.5000
2 Co 0.0000 0.5000 0.0000
3 Co 0.0000 0.0000 0.5000
4 Co 0.5000 0.0000 0.0000
5 N 0.0000 0.0000 0.0000

Properties
calculated volume: 54.06 Å³ per cell
formation energy (no corrections): 0.36 eV/atom
space group: No. 221
calculated density: 11.580 g/cm3

(11)
A relaxed CoReRh2N crystal. Source: Alexandria via LeMat-Bulk, functional PBE.

Cell lengths 4.1053, 4.1053, 3.7509 Å; angles 90.00, 90.00, 90.00 degrees
Atoms (fractional coordinates):
1 Re 0.5000 0.5000 0.5000
2 N 0.0000 0.0000 0.0000
3 Rh 0.0000 0.5000 0.0000
4 Rh 0.5000 0.0000 0.0000
5 Co 0.0000 0.0000 0.5000

Properties
calculated volume: 63.21 Å³ per cell
formation energy (no corrections): 0.58 eV/atom
space group: No. 123
calculated density: 12.214 g/cm3

(12)
A relaxed Co2ReRhN crystal. Source: Alexandria via LeMat-Bulk, functional PBE.

Cell lengths 3.8373, 3.8373, 3.9504 Å; angles 90.00, 90.00, 90.00 degrees
Atoms (fractional coordinates):
1 Re 0.0000 0.0000 0.5000
2 N 0.0000 0.0000 0.0000
3 Rh 0.5000 0.5000 0.5000
4 Co 0.0000 0.5000 0.0000
5 Co 0.5000 0.0000 0.0000

Properties
calculated volume: 58.17 Å³ per cell
formation energy (no corrections): 0.14 eV/atom
space group: No. 123
calculated density: 12.018 g/cm3

(13)
A relaxed CoReS2N crystal. Source: Alexandria via LeMat-Bulk, functional PBE.

Cell lengths 4.7771, 4.7771, 3.7147 Å; angles 90.00, 90.00, 90.00 degrees
Atoms (fractional coordinates):
1 Re 0.0000 0.0000 0.0000
2 S 0.0000 0.5000 0.0000
3 S 0.5000 0.0000 0.0000
4 Co 0.5000 0.5000 0.5000
5 N 0.0000 0.0000 0.5000

Properties
calculated volume: 84.77 Å³ per cell
formation energy (no corrections): 0.68 eV/atom
space group: No. 123
calculated density: 6.332 g/cm3

(14)
A relaxed CoReS2N crystal. Source: Alexandria via LeMat-Bulk, functional PBE.

Cell lengths 4.5823, 4.5823, 3.2918 Å; angles 90.00, 90.00, 90.00 degrees
Atoms (fractional coordinates):
1 Re 0.5000 0.5000 0.5000
2 S 0.0000 0.5000 0.0000
3 S 0.5000 0.0000 0.0000
4 Co 0.0000 0.0000 0.0000
5 N 0.0000 0.0000 0.5000

Properties
calculated volume: 69.12 Å³ per cell
formation energy (no corrections): 0.97 eV/atom
space group: No. 123
calculated density: 7.766 g/cm3

(15)
A relaxed Sr2CoRe2N6 crystal. Source: Alexandria via LeMat-Bulk, functional PBE.

Cell lengths 5.7553, 5.7553, 6.9185 Å; angles 65.42, 65.42, 60.00 degrees
Atoms (fractional coordinates):
1 Sr 0.7498 0.7498 0.7505
2 Sr 0.2502 0.2502 0.2495
3 Co 0.0000 0.0000 0.0000
4 Re 0.4262 0.4262 0.7215
5 Re 0.5738 0.5738 0.2785
6 N 0.7745 0.7745 0.1972
7 N 0.2538 0.7745 0.1972
8 N 0.7745 0.2538 0.1972
9 N 0.2255 0.7462 0.8028
10 N 0.7462 0.2255 0.8028
11 N 0.2255 0.2255 0.8028

Properties
calculated volume: 174.08 Å³ per cell
formation energy (no corrections): -0.25 eV/atom
space group: No. 166
calculated density: 6.588 g/cm3

(16)
A relaxed Co2ReTcN crystal. Source: Alexandria via LeMat-Bulk, functional PBE.

Cell lengths 4.5634, 3.7328, 4.5634 Å; angles 90.00, 90.00, 90.00 degrees
Atoms (fractional coordinates):
1 Re 0.0000 0.0000 0.0000
2 Co 0.0000 0.0000 0.5000
3 Co 0.5000 0.0000 0.0000
4 Tc 0.5000 0.5000 0.5000
5 N 0.0000 0.5000 0.0000

Properties
calculated volume: 77.73 Å³ per cell
formation energy (no corrections): 1.41 eV/atom
space group: No. 123
calculated density: 8.888 g/cm3

(17)
A relaxed ZnCo2ReN crystal. Source: Alexandria via LeMat-Bulk, functional PBE.

Cell lengths 3.8133, 3.8133, 3.9728 Å; angles 90.00, 90.00, 90.00 degrees
Atoms (fractional coordinates):
1 Re 0.0000 0.0000 0.5000
2 Zn 0.5000 0.5000 0.5000
3 Co 0.0000 0.5000 0.0000
4 Co 0.5000 0.0000 0.0000
5 N 0.0000 0.0000 0.0000

Properties
calculated volume: 57.77 Å³ per cell
formation energy (no corrections): 0.06 eV/atom
space group: No. 123
calculated density: 11.023 g/cm3

(18)
A relaxed CoRhN2 crystal. Source: Alexandria via LeMat-Bulk, functional PBE.

Cell lengths 6.2846, 6.2846, 6.2846 Å; angles 25.24, 25.24, 25.24 degrees
Atoms (fractional coordinates):
1 Co 0.5000 0.5000 0.5000
2 Rh 0.0000 0.0000 0.0000
3 N 0.8933 0.8933 0.8933
4 N 0.1067 0.1067 0.1067

Properties
calculated volume: 39.73 Å³ per cell
formation energy (no corrections): 0.45 eV/atom
space group: No. 166
calculated density: 7.935 g/cm3

(19)
A relaxed CoRhN2 crystal. Source: Alexandria via LeMat-Bulk, functional PBE.

Cell lengths 3.7276, 3.7276, 3.7276 Å; angles 60.00, 60.00, 60.00 degrees
Atoms (fractional coordinates):
1 Co 0.0000 0.0000 0.0000
2 Rh 0.5000 0.5000 0.5000
3 N 0.2500 0.2500 0.2500
4 N 0.7500 0.7500 0.7500

Properties
calculated volume: 36.63 Å³ per cell
formation energy (no corrections): 1.14 eV/atom
space group: No. 225
calculated density: 8.608 g/cm3

(20)
A relaxed Co2RhN crystal. Source: Alexandria via LeMat-Bulk, functional PBE.

Cell lengths 5.8341, 5.8341, 4.8873 Å; angles 53.35, 53.35, 90.00 degrees
Atoms (fractional coordinates):
1 Co 0.5128 0.1250 0.2500
2 Co 0.2372 0.6250 0.2500
3 Co 0.3750 0.4872 0.7500
4 Co 0.8750 0.7628 0.7500
5 Rh 0.0000 0.0000 0.0000
6 Rh 0.7500 0.2500 0.5000
7 N 0.5000 0.5000 0.0000
8 N 0.2500 0.7500 0.5000

Properties
calculated volume: 89.19 Å³ per cell
formation energy (no corrections): 0.28 eV/atom
space group: No. 122
calculated density: 8.742 g/cm3

(21)
A relaxed Co2RhN2 crystal. Source: Alexandria via LeMat-Bulk, functional PBE.

Cell lengths 6.0027, 6.0027, 2.7980 Å; angles 90.00, 90.00, 90.00 degrees
Atoms (fractional coordinates):
1 Co 0.1663 0.6663 0.5000
2 Co 0.6663 0.8337 0.5000
3 Co 0.8337 0.3337 0.5000
4 Co 0.3337 0.1663 0.5000
5 Rh 0.0000 0.0000 0.0000
6 Rh 0.5000 0.5000 0.0000
7 N 0.3065 0.8065 0.0000
8 N 0.8065 0.6935 0.0000
9 N 0.6935 0.1935 0.0000
10 N 0.1935 0.3065 0.0000

Properties
calculated volume: 100.82 Å³ per cell
formation energy (no corrections): 0.69 eV/atom
space group: No. 127
calculated density: 8.195 g/cm3

(22)
A relaxed Co2RhN2 crystal. Source: Alexandria via LeMat-Bulk, functional PBE.

Cell lengths 3.3652, 3.3652, 5.1205 Å; angles 70.82, 70.82, 90.00 degrees
Atoms (fractional coordinates):
1 Co 0.7500 0.2500 0.5000
2 Co 0.2500 0.7500 0.5000
3 Rh 0.0000 0.0000 0.0000
4 N 0.3508 0.3508 0.2984
5 N 0.6492 0.6492 0.7016

Properties
calculated volume: 51.35 Å³ per cell
formation energy (no corrections): 0.69 eV/atom
space group: No. 139
calculated density: 8.046 g/cm3

(23)
A relaxed CoRh2N crystal. Source: Alexandria via LeMat-Bulk, functional PBE.

Cell lengths 6.2652, 6.2652, 5.1422 Å; angles 52.47, 52.47, 90.00 degrees
Atoms (fractional coordinates):
1 Co 0.0000 0.0000 0.0000
2 Co 0.7500 0.2500 0.5000
3 Rh 0.5247 0.1250 0.2500
4 Rh 0.2253 0.6250 0.2500
5 Rh 0.3750 0.4753 0.7500
6 Rh 0.8750 0.7747 0.7500
7 N 0.5000 0.5000 0.0000
8 N 0.2500 0.7500 0.5000

Properties
calculated volume: 102.47 Å³ per cell
formation energy (no corrections): 0.50 eV/atom
space group: No. 122
calculated density: 9.034 g/cm3

(24)
A relaxed CoRh3N crystal. Source: Alexandria via LeMat-Bulk, functional PBE.

Cell lengths 4.0274, 4.0274, 4.0274 Å; angles 90.00, 90.00, 90.00 degrees
Atoms (fractional coordinates):
1 Co 0.5000 0.5000 0.5000
2 Rh 0.0000 0.5000 0.0000
3 Rh 0.0000 0.0000 0.5000
4 Rh 0.5000 0.0000 0.0000
5 N 0.0000 0.0000 0.0000

Properties
calculated volume: 65.32 Å³ per cell
formation energy (no corrections): 0.35 eV/atom
space group: No. 221
calculated density: 9.702 g/cm3

(25)
A relaxed Co2RhN crystal. Source: Alexandria via LeMat-Bulk, functional PBE.

Cell lengths 2.6998, 2.6998, 7.2896 Å; angles 79.33, 79.33, 60.00 degrees
Atoms (fractional coordinates):
1 Co 0.1156 0.1156 0.6532
2 Co 0.8844 0.8844 0.3468
3 Rh 0.0000 0.0000 0.0000
4 N 0.5000 0.5000 0.5000

Properties
calculated volume: 44.95 Å³ per cell
formation energy (no corrections): 0.42 eV/atom
space group: No. 166
calculated density: 8.673 g/cm3

(26)
A relaxed CoRhN2 crystal. Source: Alexandria via LeMat-Bulk, functional PBE.

Cell lengths 4.4536, 4.4536, 5.4134 Å; angles 65.71, 65.71, 90.00 degrees
Atoms (fractional coordinates):
1 Co 0.5000 0.5000 0.0000
2 Co 0.2500 0.7500 0.5000
3 Rh 0.0000 0.0000 0.0000
4 Rh 0.7500 0.2500 0.5000
5 N 0.5944 0.1250 0.2500
6 N 0.1556 0.6250 0.2500
7 N 0.3750 0.4056 0.7500
8 N 0.8750 0.8444 0.7500

Properties
calculated volume: 87.34 Å³ per cell
formation energy (no corrections): 0.31 eV/atom
space group: No. 122
calculated density: 7.219 g/cm3

(27)
A relaxed CoRh3N crystal. Source: Alexandria via LeMat-Bulk, functional PBE.

Cell lengths 4.4733, 4.4733, 4.4733 Å; angles 90.00, 90.00, 90.00 degrees
Atoms (fractional coordinates):
1 Co 0.0000 0.0000 0.0000
2 Rh 0.0000 0.5000 0.0000
3 Rh 0.0000 0.0000 0.5000
4 Rh 0.5000 0.0000 0.0000
5 N 0.5000 0.5000 0.5000

Properties
calculated volume: 89.51 Å³ per cell
formation energy (no corrections): 2.18 eV/atom
space group: No. 221
calculated density: 7.080 g/cm3